Below is a relaxed LaNiP2O crystal, with properties calculated at the PBE+U level.

Results
Raw total energy: -5.14 eV per atom
Calculated density: 5.44 g/cm³
SG: P4/mmm, No. 123

Cell lengths 4.4439, 4.4439, 4.2572 Å; angles 90.00, 90.00, 90.00 degrees
Last column: magnetic moment on the atom in μB.
Sites, in units of the cell vectors:
1 O 0.0000 0.0000 0.5000  -0.17
2 P 0.5000 0.0000 0.0000  -0.04
3 Ni 0.0000 0.0000 0.0000  0.90
4 P 0.0000 0.5000 0.0000  -0.04
5 La 0.5000 0.5000 0.5000  0.00